(1)
# NdCd4Pd2 | the Alexandria database | PBE-GGA | optimized geometry
# DOS(E_F): 3.02 states/eV/f.u.
# Total magnetic moment: 0.0 Bohr magnetons per cell
data_NdCd4Pd2
_chemical_formula_sum 'Nd2 Cd8 Pd4'
_symmetry_space_group_name_H-M 'C m m m'
_symmetry_Int_Tables_number 65
_symmetry_space_group_name_Hall '-C 2 2'
_cell_length_a 4.381
_cell_length_b 17.880
_cell_length_c 3.952
_cell_angle_alpha 90.00
_cell_angle_beta 90.00
_cell_angle_gamma 90.00
loop_
_atom_site_label
_atom_site_type_symbol
_atom_site_fract_x
_atom_site_fract_y
_atom_site_fract_z
Nd1 Nd 0.000 0.000 0.000
Cd1 Cd 0.000 0.171 0.500
Cd2 Cd 0.000 0.314 0.000
Pd1 Pd 0.000 0.426 0.500

(2)
# NdCd4Pd2 | the Alexandria database | PBE-GGA | optimized geometry
# DOS(E_F): 3.60 states/eV/f.u.
# Total magnetic moment: 0.0 Bohr magnetons per cell
data_NdCd4Pd2
_chemical_formula_sum 'Nd2 Cd8 Pd4'
_symmetry_space_group_name_H-M 'P 42/m n m'
_symmetry_Int_Tables_number 136
_symmetry_space_group_name_Hall '-P 4n 2n'
_cell_length_a 8.341
_cell_length_b 8.341
_cell_length_c 4.397
_cell_angle_alpha 90.00
_cell_angle_beta 90.00
_cell_angle_gamma 90.00
loop_
_atom_site_label
_atom_site_type_symbol
_atom_site_fract_x
_atom_site_fract_y
_atom_site_fract_z
Nd1 Nd 0.000 0.000 0.000
Cd1 Cd 0.100 0.346 0.500
Pd1 Pd 0.194 0.806 0.500

Stability order, top to bottom: (2), (1)

(1)
# Nd2CdPd | the Alexandria database | PBE-GGA | optimized geometry
# DOS(E_F): 3.54 states/eV/f.u.
# Total magnetic moment: 0.0 Bohr magnetons per cell
data_Nd2CdPd
_chemical_formula_sum 'Nd2 Cd1 Pd1'
_symmetry_space_group_name_H-M 'P 4/m m m'
_symmetry_Int_Tables_number 123
_symmetry_space_group_name_Hall '-P 4 2'
_cell_length_a 3.712
_cell_length_b 3.712
_cell_length_c 7.606
_cell_angle_alpha 90.00
_cell_angle_beta 90.00
_cell_angle_gamma 90.00
loop_
_atom_site_label
_atom_site_type_symbol
_atom_site_fract_x
_atom_site_fract_y
_atom_site_fract_z
Nd1 Nd 0.000 0.000 0.227
Cd1 Cd 0.500 0.500 0.500
Pd1 Pd 0.500 0.500 0.000

(2)
# Nd2CdPd | the Alexandria database | PBE-GGA | optimized geometry
# DOS(E_F): 3.38 states/eV/f.u.
# Total magnetic moment: 0.0 Bohr magnetons per cell
data_Nd2CdPd
_chemical_formula_sum 'Nd8 Cd4 Pd4'
_symmetry_space_group_name_H-M 'F m -3 m'
_symmetry_Int_Tables_number 225
_symmetry_space_group_name_Hall '-F 4 2 3'
_cell_length_a 7.481
_cell_length_b 7.481
_cell_length_c 7.481
_cell_angle_alpha 90.00
_cell_angle_beta 90.00
_cell_angle_gamma 90.00
loop_
_atom_site_label
_atom_site_type_symbol
_atom_site_fract_x
_atom_site_fract_y
_atom_site_fract_z
Nd1 Nd 0.250 0.250 0.250
Cd1 Cd 0.000 0.000 0.000
Pd1 Pd 0.000 0.000 0.500

Stability order, top to bottom: (1), (2)

(1)
# Pm2NdCd | the Alexandria database | PBE-GGA | optimized geometry
# DOS(E_F): 4.05 states/eV/f.u.
# Total magnetic moment: 0.0 Bohr magnetons per cell
data_Pm2NdCd
_chemical_formula_sum 'Pm6 Nd3 Cd3'
_symmetry_space_group_name_H-M 'R 3 m'
_symmetry_Int_Tables_number 160
_symmetry_space_group_name_Hall 'R 3 -2"'
_cell_length_a 3.6769
_cell_length_b 3.6769
_cell_length_c 33.2627
_cell_angle_alpha 90.00
_cell_angle_beta 90.00
_cell_angle_gamma 120.00
loop_
_atom_site_label
_atom_site_type_symbol
_atom_site_fract_x
_atom_site_fract_y
_atom_site_fract_z
Pm1 Pm 0.0000 0.0000 0.0000
Pm2 Pm 0.0000 0.0000 0.1804
Nd1 Nd 0.0000 0.0000 0.4232
Cd1 Cd 0.0000 0.0000 0.5901

(2)
# Pm2NdCd | the Alexandria database | PBE-GGA | optimized geometry
# DOS(E_F): 5.03 states/eV/f.u.
# Total magnetic moment: 0.0 Bohr magnetons per cell
data_Pm2NdCd
_chemical_formula_sum 'Pm6 Nd3 Cd3'
_symmetry_space_group_name_H-M 'R -3 m'
_symmetry_Int_Tables_number 166
_symmetry_space_group_name_Hall '-R 3 2"'
_cell_length_a 3.5505
_cell_length_b 3.5505
_cell_length_c 37.4204
_cell_angle_alpha 90.00
_cell_angle_beta 90.00
_cell_angle_gamma 120.00
loop_
_atom_site_label
_atom_site_type_symbol
_atom_site_fract_x
_atom_site_fract_y
_atom_site_fract_z
Pm1 Pm 0.0000 0.0000 0.0880
Nd1 Nd 0.0000 0.0000 0.5000
Cd1 Cd 0.0000 0.0000 0.0000

Stability order, top to bottom: (1), (2)

(1)
# PmNdCd | the Alexandria database | PBE-GGA | optimized geometry
# DOS(E_F): 4.32 states/eV/f.u.
# Total magnetic moment: 0.0 Bohr magnetons per cell
data_PmNdCd
_chemical_formula_sum 'Pm2 Nd2 Cd2'
_symmetry_space_group_name_H-M 'I 4 m m'
_symmetry_Int_Tables_number 107
_symmetry_space_group_name_Hall 'I 4 -2'
_cell_length_a 3.744
_cell_length_b 3.744
_cell_length_c 13.150
_cell_angle_alpha 90.00
_cell_angle_beta 90.00
_cell_angle_gamma 90.00
loop_
_atom_site_label
_atom_site_type_symbol
_atom_site_fract_x
_atom_site_fract_y
_atom_site_fract_z
Pm1 Pm 0.000 0.000 0.000
Nd1 Nd 0.000 0.000 0.691
Cd1 Cd 0.000 0.000 0.347

(2)
# PmNdCd | the Alexandria database | PBE-GGA | optimized geometry
# DOS(E_F): 3.68 states/eV/f.u.
# Total magnetic moment: 0.0 Bohr magnetons per cell
data_PmNdCd
_chemical_formula_sum 'Pm1 Nd1 Cd1'
_symmetry_space_group_name_H-M 'P 3 m 1'
_symmetry_Int_Tables_number 156
_cell_length_a 5.3530
_cell_length_b 5.3530
_cell_length_c 3.6457
_cell_angle_alpha 90.00
_cell_angle_beta 90.00
_cell_angle_gamma 120.00
loop_
_symmetry_equiv_pos_as_xyz
'x,y,z'
'-y,x-y,z'
'-x+y,-x,z'
'-y,-x,z'
'-x+y,y,z'
'x,x-y,z'
loop_
_atom_site_label
_atom_site_type_symbol
_atom_site_fract_x
_atom_site_fract_y
_atom_site_fract_z
Pm1 Pm 0.0000 0.0000 0.0000
Nd1 Nd 0.3333 0.6667 0.5808
Cd1 Cd 0.6667 0.3333 0.2832

Stability order, top to bottom: (1), (2)

(1)
# Pm2Nd3Cd | the Alexandria database | PBE-GGA | optimized geometry
# DOS(E_F): 7.09 states/eV/f.u.
# Total magnetic moment: 0.0 Bohr magnetons per cell
data_Pm2Nd3Cd
_chemical_formula_sum 'Pm8 Nd12 Cd4'
_symmetry_space_group_name_H-M 'C 1 2/m 1'
_symmetry_Int_Tables_number 12
_cell_length_a 6.234
_cell_length_b 10.837
_cell_length_c 11.806
_cell_angle_alpha 90.00
_cell_angle_beta 100.33
_cell_angle_gamma 90.00
loop_
_symmetry_equiv_pos_as_xyz
'x,y,z'
'-x,-y,-z'
'-x,y,-z'
'x,-y,z'
'x+1/2,y+1/2,z'
'-x+1/2,-y+1/2,-z'
'-x+1/2,y+1/2,-z'
'x+1/2,-y+1/2,z'
loop_
_atom_site_label
_atom_site_type_symbol
_atom_site_fract_x
_atom_site_fract_y
_atom_site_fract_z
Pm1 Pm 0.000 0.000 0.000
Pm2 Pm 0.000 0.163 0.500
Pm3 Pm 0.000 0.500 0.500
Nd1 Nd 0.240 0.500 0.242
Nd2 Nd 0.250 0.170 0.244
Cd1 Cd 0.000 0.332 0.000

(2)
# Pm2Nd3Cd | the Alexandria database | PBE-GGA | optimized geometry
# DOS(E_F): 12.08 states/eV/f.u.
# Total magnetic moment: 0.0 Bohr magnetons per cell
data_Pm2Nd3Cd
_chemical_formula_sum 'Pm2 Nd3 Cd1'
_symmetry_space_group_name_H-M 'P 4/m m m'
_symmetry_Int_Tables_number 123
_symmetry_space_group_name_Hall '-P 4 2'
_cell_length_a 4.182
_cell_length_b 4.182
_cell_length_c 11.179
_cell_angle_alpha 90.00
_cell_angle_beta 90.00
_cell_angle_gamma 90.00
loop_
_atom_site_label
_atom_site_type_symbol
_atom_site_fract_x
_atom_site_fract_y
_atom_site_fract_z
Pm1 Pm 0.000 0.000 0.164
Nd1 Nd 0.500 0.500 0.000
Nd2 Nd 0.500 0.500 0.347
Cd1 Cd 0.000 0.000 0.500

Stability order, top to bottom: (1), (2)